# 1
# Cr2IrAu, optimized geometry, DFT PBE-GGA
data_Cr2IrAu
_cell_length_a 8.6286
_cell_length_b 8.6286
_cell_length_c 8.6286
_cell_angle_alpha 18.65
_cell_angle_beta 18.65
_cell_angle_gamma 18.65
_space_group_name_H-M_alt 'P 1'
_space_group_IT_number 1
loop_
_space_group_symop_operation_xyz
'x,y,z'
loop_
_atom_site_label
_atom_site_fract_x
_atom_site_fract_y
_atom_site_fract_z
Cr1 0.0000 0.0000 0.0000
Cr2 0.2705 0.2705 0.2705
Ir1 0.7468 0.7468 0.7468
Au1 0.5117 0.5117 0.5117
# calculated density	14.26	Mg/m³
# formation energy from the elements	0.2290	eV/atom
# energy relative to the lowest polymorph listed for this composition	0.117	eV per atom
# total energy	-7.6173	eV per atom

***

# 2
# Tb2SmY2Ho2, optimized geometry, DFT PBE-GGA
data_Tb2SmY2Ho2
_cell_length_a 8.7833
_cell_length_b 8.7833
_cell_length_c 8.7833
_cell_angle_alpha 37.71
_cell_angle_beta 37.71
_cell_angle_gamma 37.71
_space_group_name_H-M_alt 'P 1'
_space_group_IT_number 1
loop_
_space_group_symop_operation_xyz
'x,y,z'
loop_
_atom_site_label
_atom_site_fract_x
_atom_site_fract_y
_atom_site_fract_z
Tb1 0.2187 0.2187 0.2187
Tb2 0.7813 0.7813 0.7813
Sm1 0.5000 0.5000 0.5000
Y1 0.3590 0.3590 0.3590
Y2 0.6410 0.6410 0.6410
Ho1 0.0726 0.0726 0.0726
Ho2 0.9274 0.9274 0.9274
# calculated density	7.12	Mg/m³
# formation energy from the elements	0.1408	eV/atom
# total energy	-5.0111	eV per atom

***

# 3
# TlSn, optimized geometry, DFT PBE-GGA
data_TlSn
_cell_length_a 6.2894
_cell_length_b 6.2894
_cell_length_c 6.1658
_cell_angle_alpha 90.00
_cell_angle_beta 90.00
_cell_angle_gamma 90.00
_space_group_name_H-M_alt 'P 1'
_space_group_IT_number 1
loop_
_space_group_symop_operation_xyz
'x,y,z'
loop_
_atom_site_label
_atom_site_fract_x
_atom_site_fract_y
_atom_site_fract_z
Tl1 0.1903 0.1903 0.0000
Tl2 0.3097 0.6903 0.5000
Tl3 0.6903 0.3097 0.5000
Tl4 0.8097 0.8097 0.0000
Sn1 0.1841 0.1841 0.5000
Sn2 0.3159 0.6841 0.0000
Sn3 0.6841 0.3159 0.0000
Sn4 0.8159 0.8159 0.5000
# calculated density	8.80	Mg/m³
# formation energy from the elements	0.1958	eV/atom
# total energy	-2.9888	eV per atom

***

# 4
# NdHoZnPb, optimized geometry, DFT PBE-GGA
data_NdHoZnPb
_cell_length_a 5.3148
_cell_length_b 5.3148
_cell_length_c 5.3148
_cell_angle_alpha 60.00
_cell_angle_beta 60.00
_cell_angle_gamma 60.00
_space_group_name_H-M_alt 'P 1'
_space_group_IT_number 1
loop_
_space_group_symop_operation_xyz
'x,y,z'
loop_
_atom_site_label
_atom_site_fract_x
_atom_site_fract_y
_atom_site_fract_z
Nd1 0.0000 0.0000 0.0000
Ho1 0.5000 0.5000 0.5000
Zn1 0.2500 0.2500 0.2500
Pb1 0.7500 0.7500 0.7500
# calculated density	9.10	Mg/m³
# formation energy from the elements	-0.3758	eV/atom
# total energy	-3.9577	eV per atom

***

# 5
# Sc3RuSe, optimized geometry, DFT PBE-GGA
data_Sc3RuSe
_cell_length_a 4.8741
_cell_length_b 4.8741
_cell_length_c 4.8741
_cell_angle_alpha 90.00
_cell_angle_beta 90.00
_cell_angle_gamma 90.00
_space_group_name_H-M_alt 'P 1'
_space_group_IT_number 1
loop_
_space_group_symop_operation_xyz
'x,y,z'
loop_
_atom_site_label
_atom_site_fract_x
_atom_site_fract_y
_atom_site_fract_z
Sc1 0.0000 0.0000 0.5000
Sc2 0.0000 0.5000 0.0000
Sc3 0.5000 0.0000 0.0000
Ru1 0.5000 0.5000 0.5000
Se1 0.0000 0.0000 0.0000
# calculated density	4.52	Mg/m³
# energy relative to the lowest polymorph listed for this composition	0.273	eV per atom
# total energy	-6.3448	eV per atom

***

# 6
# Ac6Ni3Bi, optimized geometry, DFT PBE-GGA
data_Ac6Ni3Bi
_cell_length_a 12.5115
_cell_length_b 4.3957
_cell_length_c 12.9473
_cell_angle_alpha 90.00
_cell_angle_beta 107.24
_cell_angle_gamma 90.00
_space_group_name_H-M_alt 'P 1'
_space_group_IT_number 1
loop_
_space_group_symop_operation_xyz
'x,y,z'
loop_
_atom_site_label
_atom_site_fract_x
_atom_site_fract_y
_atom_site_fract_z
Ac1 0.0176 0.2500 0.3881
Ac2 0.1112 0.2500 0.9519
Ac3 0.2049 0.7500 0.2616
Ac4 0.2916 0.7500 0.7741
Ac5 0.3493 0.2500 0.5391
Ac6 0.4204 0.7500 0.0885
Ac7 0.5796 0.2500 0.9115
Ac8 0.6507 0.7500 0.4609
Ac9 0.7084 0.2500 0.2259
Ac10 0.7951 0.2500 0.7384
Ac11 0.8888 0.7500 0.0481
Ac12 0.9824 0.7500 0.6119
Ni1 0.0391 0.2500 0.1637
Ni2 0.1704 0.7500 0.4914
Ni3 0.3481 0.2500 0.9238
Ni4 0.6519 0.7500 0.0762
Ni5 0.8296 0.2500 0.5086
Ni6 0.9609 0.7500 0.8363
Bi1 0.4453 0.2500 0.3124
Bi2 0.5547 0.7500 0.6876
# calculated density	8.53	Mg/m³
# formation energy from the elements	-0.3059	eV/atom
# total energy	-4.8935	eV per atom

***

# 7
# Ca2Ga12Pd, optimized geometry, DFT PBE-GGA
data_Ca2Ga12Pd
_cell_length_a 6.0837
_cell_length_b 6.0837
_cell_length_c 15.9401
_cell_angle_alpha 90.00
_cell_angle_beta 90.00
_cell_angle_gamma 90.00
_space_group_name_H-M_alt 'P 1'
_space_group_IT_number 1
loop_
_space_group_symop_operation_xyz
'x,y,z'
loop_
_atom_site_label
_atom_site_fract_x
_atom_site_fract_y
_atom_site_fract_z
Ca1 0.2500 0.7500 0.2505
Ca2 0.2500 0.7500 0.7495
Ca3 0.7500 0.2500 0.2505
Ca4 0.7500 0.2500 0.7495
Ga1 0.0000 0.0000 0.0906
Ga2 0.0000 0.0000 0.9094
Ga3 0.0000 0.5000 0.0906
Ga4 0.0000 0.5000 0.9094
Ga5 0.0795 0.5795 0.4318
Ga6 0.0795 0.9205 0.5682
Ga7 0.2500 0.2500 0.1896
Ga8 0.2500 0.2500 0.3458
Ga9 0.2500 0.2500 0.6542
Ga10 0.2500 0.2500 0.8104
Ga11 0.4205 0.5795 0.5682
Ga12 0.4205 0.9205 0.4318
Ga13 0.5000 0.0000 0.0906
Ga14 0.5000 0.0000 0.9094
Ga15 0.5000 0.5000 0.0906
Ga16 0.5000 0.5000 0.9094
Ga17 0.5795 0.0795 0.5682
Ga18 0.5795 0.4205 0.4318
Ga19 0.7500 0.7500 0.1896
Ga20 0.7500 0.7500 0.3458
Ga21 0.7500 0.7500 0.6542
Ga22 0.7500 0.7500 0.8104
Ga23 0.9205 0.0795 0.4318
Ga24 0.9205 0.4205 0.5682
Pd1 0.2500 0.7500 0.0000
Pd2 0.7500 0.2500 0.0000
# calculated density	5.76	Mg/m³
# formation energy from the elements	-0.3472	eV/atom
# total energy	-3.3818	eV per atom

***

# 8
# DySc8Tl2, optimized geometry, DFT PBE-GGA
data_DySc8Tl2
_cell_length_a 8.2781
_cell_length_b 8.2781
_cell_length_c 5.3056
_cell_angle_alpha 103.37
_cell_angle_beta 103.37
_cell_angle_gamma 119.97
_space_group_name_H-M_alt 'P 1'
_space_group_IT_number 1
loop_
_space_group_symop_operation_xyz
'x,y,z'
loop_
_atom_site_label
_atom_site_fract_x
_atom_site_fract_y
_atom_site_fract_z
Dy1 0.0000 0.0000 0.0000
Sc1 0.0967 0.3235 0.6371
Sc2 0.2146 0.7854 0.0000
Sc3 0.3235 0.0967 0.6371
Sc4 0.4189 0.4189 0.2067
Sc5 0.5811 0.5811 0.7933
Sc6 0.6765 0.9033 0.3629
Sc7 0.7854 0.2146 0.0000
Sc8 0.9033 0.6765 0.3629
Tl1 0.3072 0.6928 0.5000
Tl2 0.6928 0.3072 0.5000
# calculated density	5.53	Mg/m³
# formation energy from the elements	0.0259	eV/atom
# total energy	-5.4274	eV per atom

***

# 9
# Na2VSi2, optimized geometry, DFT PBE-GGA
data_Na2VSi2
_cell_length_a 6.5609
_cell_length_b 6.5609
_cell_length_c 4.8762
_cell_angle_alpha 90.00
_cell_angle_beta 90.00
_cell_angle_gamma 90.00
_space_group_name_H-M_alt 'P 1'
_space_group_IT_number 1
loop_
_space_group_symop_operation_xyz
'x,y,z'
loop_
_atom_site_label
_atom_site_fract_x
_atom_site_fract_y
_atom_site_fract_z
Na1 0.1758 0.3242 0.0000
Na2 0.3242 0.8242 0.0000
Na3 0.6758 0.1758 0.0000
Na4 0.8242 0.6758 0.0000
V1 0.0000 0.0000 0.5000
V2 0.5000 0.5000 0.5000
Si1 0.1288 0.6288 0.5000
Si2 0.3712 0.1288 0.5000
Si3 0.6288 0.8712 0.5000
Si4 0.8712 0.3712 0.5000
# calculated density	2.42	Mg/m³
# total energy	-4.1948	eV per atom

***

# 10
# BeOsBr2, optimized geometry, DFT PBE-GGA
data_BeOsBr2
_cell_length_a 7.8667
_cell_length_b 7.8667
_cell_length_c 7.8667
_cell_angle_alpha 23.69
_cell_angle_beta 23.69
_cell_angle_gamma 23.69
_space_group_name_H-M_alt 'P 1'
_space_group_IT_number 1
loop_
_space_group_symop_operation_xyz
'x,y,z'
loop_
_atom_site_label
_atom_site_fract_x
_atom_site_fract_y
_atom_site_fract_z
Be1 0.0000 0.0000 0.0000
Os1 0.5000 0.5000 0.5000
Br1 0.3945 0.3945 0.3945
Br2 0.6055 0.6055 0.6055
# calculated density	8.64	Mg/m³
# energy relative to the lowest polymorph listed for this composition	0.539	eV per atom
# total energy	-3.8552	eV per atom

***

# 11
# RbPaO2, optimized geometry, DFT PBE-GGA
data_RbPaO2
_cell_length_a 3.1106
_cell_length_b 3.1106
_cell_length_c 6.8435
_cell_angle_alpha 90.00
_cell_angle_beta 90.00
_cell_angle_gamma 90.00
_space_group_name_H-M_alt 'P 1'
_space_group_IT_number 1
loop_
_space_group_symop_operation_xyz
'x,y,z'
loop_
_atom_site_label
_atom_site_fract_x
_atom_site_fract_y
_atom_site_fract_z
Rb1 0.0000 0.0000 0.0000
Pa1 0.0000 0.0000 0.5000
O1 0.5000 0.5000 0.3093
O2 0.5000 0.5000 0.6907
# calculated density	8.74	Mg/m³
# total energy	-7.0340	eV per atom

***

# 12
# CaTa2AlNi, optimized geometry, DFT PBE-GGA
data_CaTa2AlNi
_cell_length_a 4.8423
_cell_length_b 4.8423
_cell_length_c 4.2941
_cell_angle_alpha 90.00
_cell_angle_beta 90.00
_cell_angle_gamma 90.00
_space_group_name_H-M_alt 'P 1'
_space_group_IT_number 1
loop_
_space_group_symop_operation_xyz
'x,y,z'
loop_
_atom_site_label
_atom_site_fract_x
_atom_site_fract_y
_atom_site_fract_z
Ca1 0.0000 0.0000 0.0000
Ta1 0.0000 0.5000 0.0000
Ta2 0.5000 0.0000 0.0000
Al1 0.5000 0.5000 0.5000
Ni1 0.0000 0.0000 0.5000
# calculated density	8.04	Mg/m³
# formation energy from the elements	2.1218	eV/atom
# total energy	-4.9243	eV per atom

***

# 13
# Pu3CrAg3S8, optimized geometry, DFT PBE-GGA
data_Pu3CrAg3S8
_cell_length_a 7.6799
_cell_length_b 7.6799
_cell_length_c 7.5813
_cell_angle_alpha 117.68
_cell_angle_beta 117.68
_cell_angle_gamma 61.96
_space_group_name_H-M_alt 'P 1'
_space_group_IT_number 1
loop_
_space_group_symop_operation_xyz
'x,y,z'
loop_
_atom_site_label
_atom_site_fract_x
_atom_site_fract_y
_atom_site_fract_z
Pu1 0.0000 0.0000 0.0000
Pu2 0.0000 0.5000 0.5000
Pu3 0.5000 0.0000 0.5000
Cr1 0.5000 0.5000 0.0000
Ag1 0.0000 0.5000 0.0000
Ag2 0.5000 0.0000 0.0000
Ag3 0.5000 0.5000 0.5000
S1 0.2471 0.2471 0.2518
S2 0.2720 0.7231 0.7719
S3 0.2754 0.2754 0.7726
S4 0.2769 0.7280 0.2281
S5 0.7231 0.2720 0.7719
S6 0.7246 0.7246 0.2274
S7 0.7280 0.2769 0.2281
S8 0.7529 0.7529 0.7482
# calculated density	6.83	Mg/m³
# total energy	-7.1797	eV per atom

***

# 14
# TmAsIr, optimized geometry, DFT PBE-GGA
data_TmAsIr
_cell_length_a 4.2973
_cell_length_b 4.2973
_cell_length_c 3.5911
_cell_angle_alpha 90.00
_cell_angle_beta 90.00
_cell_angle_gamma 120.00
_space_group_name_H-M_alt 'P 1'
_space_group_IT_number 1
loop_
_space_group_symop_operation_xyz
'x,y,z'
loop_
_atom_site_label
_atom_site_fract_x
_atom_site_fract_y
_atom_site_fract_z
Tm1 0.0000 0.0000 0.0000
As1 0.6667 0.3333 0.5000
Ir1 0.3333 0.6667 0.5000
# calculated density	12.61	Mg/m³
# formation energy from the elements	-0.9291	eV/atom
# total energy	-6.9232	eV per atom

***

# 15
# PmNp2UAs4, optimized geometry, DFT PBE-GGA
data_PmNp2UAs4
_cell_length_a 7.1494
_cell_length_b 7.1494
_cell_length_c 7.1494
_cell_angle_alpha 131.79
_cell_angle_beta 131.79
_cell_angle_gamma 70.56
_space_group_name_H-M_alt 'P 1'
_space_group_IT_number 1
loop_
_space_group_symop_operation_xyz
'x,y,z'
loop_
_atom_site_label
_atom_site_fract_x
_atom_site_fract_y
_atom_site_fract_z
Pm1 0.0000 0.0000 0.0000
Np1 0.5000 0.5000 0.0000
Np2 0.7500 0.2500 0.5000
U1 0.2500 0.7500 0.5000
As1 0.0020 0.5020 0.5000
As2 0.2540 0.2540 0.0000
As3 0.4980 0.9980 0.5000
As4 0.7460 0.7460 0.0000
# calculated density	9.65	Mg/m³
# formation energy from the elements	-0.8633	eV/atom
# total energy	-8.4281	eV per atom

***

# 16
# Na2SrTaIn, optimized geometry, DFT PBE-GGA
data_Na2SrTaIn
_cell_length_a 5.5709
_cell_length_b 5.5709
_cell_length_c 6.3073
_cell_angle_alpha 90.00
_cell_angle_beta 90.00
_cell_angle_gamma 90.00
_space_group_name_H-M_alt 'P 1'
_space_group_IT_number 1
loop_
_space_group_symop_operation_xyz
'x,y,z'
loop_
_atom_site_label
_atom_site_fract_x
_atom_site_fract_y
_atom_site_fract_z
Na1 0.0000 0.5000 0.0000
Na2 0.5000 0.0000 0.0000
Sr1 0.0000 0.0000 0.5000
Ta1 0.5000 0.5000 0.5000
In1 0.0000 0.0000 0.0000
# calculated density	3.64	Mg/m³
# formation energy from the elements	1.2455	eV/atom
# total energy	-2.5367	eV per atom

***

# 17
# FeSiTc2, optimized geometry, DFT PBE-GGA
data_FeSiTc2
_cell_length_a 4.6227
_cell_length_b 4.6227
_cell_length_c 4.6227
_cell_angle_alpha 132.34
_cell_angle_beta 132.34
_cell_angle_gamma 69.70
_space_group_name_H-M_alt 'P 1'
_space_group_IT_number 1
loop_
_space_group_symop_operation_xyz
'x,y,z'
loop_
_atom_site_label
_atom_site_fract_x
_atom_site_fract_y
_atom_site_fract_z
Fe1 0.0000 0.0000 0.0000
Si1 0.7500 0.2500 0.5000
Tc1 0.2500 0.7500 0.5000
Tc2 0.5000 0.5000 0.0000
# calculated density	8.78	Mg/m³
# total energy	-8.7795	eV per atom

***

# 18
# Tb2GdZn, optimized geometry, DFT PBE-GGA
data_Tb2GdZn
_cell_length_a 3.5781
_cell_length_b 3.5781
_cell_length_c 8.6565
_cell_angle_alpha 90.00
_cell_angle_beta 90.00
_cell_angle_gamma 90.00
_space_group_name_H-M_alt 'P 1'
_space_group_IT_number 1
loop_
_space_group_symop_operation_xyz
'x,y,z'
loop_
_atom_site_label
_atom_site_fract_x
_atom_site_fract_y
_atom_site_fract_z
Tb1 0.0000 0.0000 0.2058
Tb2 0.0000 0.0000 0.7942
Gd1 0.5000 0.5000 0.5000
Zn1 0.5000 0.5000 0.0000
# calculated density	8.10	Mg/m³
# formation energy from the elements	-0.1557	eV/atom
# energy relative to the lowest polymorph listed for this composition	0.000	eV per atom
# total energy	-6.3096	eV per atom

***

# 19
# HfVAg2Pb, optimized geometry, DFT PBE-GGA
data_HfVAg2Pb
_cell_length_a 5.0727
_cell_length_b 5.0727
_cell_length_c 5.1531
_cell_angle_alpha 90.00
_cell_angle_beta 90.00
_cell_angle_gamma 90.00
_space_group_name_H-M_alt 'P 1'
_space_group_IT_number 1
loop_
_space_group_symop_operation_xyz
'x,y,z'
loop_
_atom_site_label
_atom_site_fract_x
_atom_site_fract_y
_atom_site_fract_z
Hf1 0.0000 0.0000 0.0000
V1 0.5000 0.5000 0.0000
Ag1 0.0000 0.5000 0.5000
Ag2 0.5000 0.0000 0.5000
Pb1 0.5000 0.5000 0.5000
# calculated density	8.17	Mg/m³
# formation energy from the elements	1.3962	eV/atom
# total energy	-4.3003	eV per atom

***

# 20
# Nd2SmNpS4, optimized geometry, DFT PBE-GGA
data_Nd2SmNpS4
_cell_length_a 6.9510
_cell_length_b 4.0076
_cell_length_c 6.9715
_cell_angle_alpha 90.00
_cell_angle_beta 109.33
_cell_angle_gamma 90.00
_space_group_name_H-M_alt 'P 1'
_space_group_IT_number 1
loop_
_space_group_symop_operation_xyz
'x,y,z'
loop_
_atom_site_label
_atom_site_fract_x
_atom_site_fract_y
_atom_site_fract_z
Nd1 0.0000 0.0000 0.0000
Nd2 0.5000 0.5000 0.0000
Sm1 0.0000 0.5000 0.5000
Np1 0.5000 0.0000 0.5000
S1 0.2507 0.0000 0.7424
S2 0.2578 0.5000 0.2611
S3 0.7422 0.5000 0.7389
S4 0.7493 0.0000 0.2576
# calculated density	7.29	Mg/m³
# total energy	-7.3227	eV per atom